# 1
Density functional theory data (meta-GGA SCAN) for a crystal of Si2AgRu relaxed with PBEsol.

Cell: 2.987 3.994 4.831 Å, 90.00 90.00 90.00°
Space group Pmmm (No. 47)
Asymmetric unit:
Si 0.000 0.000 0.000
Si 0.500 0.000 0.500
Ag 0.000 0.500 0.500
Ru 0.500 0.500 0.000

Results
**ΔE to the lowest computed polymorph**: 433.4 meV per atom
**Crystal system**: orthorhombic
**Calculated density**: 7637 kg/m3
**Uncorrected formation energy**: 0.29 eV/atom

# 2
Density functional theory data (meta-GGA SCAN) for a crystal of SiAg2TeRu relaxed with PBEsol.

Cell: 4.964 4.964 5.260 Å, 90.00 90.00 90.00°
Space group P4/mmm (No. 123)
Asymmetric unit:
Si 0.000 0.000 0.000
Ag 0.000 0.500 0.500
Te 0.000 0.000 0.500
Ru 0.500 0.500 0.000

Results
**Crystal system**: tetragonal
**Calculated density**: 6054 kg/m3
**Uncorrected formation energy**: 1.64 eV/atom

# 3
Density functional theory data (meta-GGA SCAN) for a crystal of SrAg4Ru relaxed with PBEsol.

Cell: 7.682 7.682 7.682 Å, 90.00 90.00 90.00°
Space group F-43m (No. 216)
Asymmetric unit:
Sr 0.000 0.000 0.000
Ag 0.124 0.124 0.376
Ru 0.250 0.250 0.750

Results
**E**: -722.47 eV/cell
**Crystal system**: cubic
**Calculated density**: 9088 kg/m3

Asked for magnetization across the records above, the calculation gives 0.00 2.07 0.00 μB per formula unit in order.